Here is a relaxed structure of U4Si6Tc7 from Alexandria via LeMat-Bulk. Energies are from GGA-PBEsol.

The structure in extended XYZ format:
```
17
Lattice="-4.058 4.058 4.058 4.058 -4.058 4.058 4.058 4.058 -4.058" Properties=species:S:1:pos:R:3 pbc="T T T"
U 2.029 2.029 -2.029
U 2.029 -2.029 2.029
U -2.029 2.029 2.029
U 2.029 2.029 2.029
Si 2.508 0.000 0.000
Si 5.608 0.000 0.000
Si 0.000 2.508 0.000
Si 0.000 0.000 2.508
Si 0.000 5.608 0.000
Si 0.000 0.000 5.608
Tc 0.000 0.000 0.000
Tc 4.058 2.029 0.000
Tc 4.058 0.000 2.029
Tc 2.029 4.058 0.000
Tc 2.029 0.000 4.058
Tc 0.000 4.058 2.029
Tc 0.000 2.029 4.058
```

Results
Energy relative to the elements, uncorrected   -588 meV per atom

Here is a relaxed structure of BaSb3 from Alexandria via LeMat-Bulk. Energies are from GGA-PBEsol.

The structure in extended XYZ format:
```
4
Lattice="4.177 0.000 0.000 -2.089 3.618 0.000 0.000 0.000 8.953" Properties=species:S:1:pos:R:3 pbc="T T T"
Ba 0.000 0.000 0.000
Sb 0.000 0.000 4.477
Sb 0.000 2.412 2.531
Sb 0.000 2.412 6.422
```

Results
Energy relative to the elements, uncorrected   -193 meV per atom

Here is a relaxed structure of SrLa2Ni from Alexandria via LeMat-Bulk. Energies are from GGA-PBEsol.

The structure in extended XYZ format:
```
4
Lattice="2.002 1.156 9.976 -2.002 1.156 9.976 0.000 -2.312 9.976" Properties=species:S:1:pos:R:3 pbc="T T T"
Sr 0.000 0.000 0.000
La 0.000 0.000 6.544
La 0.000 0.000 23.386
Ni 0.000 0.000 14.965
```

Results
Formation energy   -57 meV per atom
Energy above the most stable polymorph in this dataset   0.0 meV/atom

Here is a relaxed structure of BeTcP2 from Alexandria via LeMat-Bulk. Energies are from GGA-PBEsol.

The structure in extended XYZ format:
```
4
Lattice="2.995 0.000 0.000 0.000 2.995 0.000 0.000 0.000 5.357" Properties=species:S:1:pos:R:3 pbc="T T T"
Be 0.000 0.000 0.000
Tc 0.000 0.000 2.679
P 1.498 1.498 1.329
P 1.498 1.498 4.029
```

Results
Formation energy   -69 meV per atom

Here is a relaxed structure of CdSnSb2 from Alexandria via LeMat-Bulk. Energies are from GGA-PBEsol.

The structure in extended XYZ format:
```
8
Lattice="-3.254 3.254 6.445 3.254 -3.254 6.445 3.254 3.254 -6.445" Properties=species:S:1:pos:R:3 pbc="T T T"
Cd 0.000 0.000 0.000
Cd 0.000 3.254 3.223
Sn 3.254 0.000 3.223
Sn 0.000 0.000 6.445
Sb 4.881 1.600 -1.611
Sb 1.600 1.627 1.611
Sb -1.627 1.655 4.834
Sb 1.655 1.627 8.057
```

Results
Energy relative to the elements, uncorrected   9 meV per atom

Here is a relaxed structure of BaTaCd from Alexandria via LeMat-Bulk. Energies are from GGA-PBEsol.

The structure in extended XYZ format:
```
3
Lattice="5.303 0.000 0.000 -2.652 4.593 0.000 0.000 0.000 3.091" Properties=species:S:1:pos:R:3 pbc="T T T"
Ba 0.000 0.000 0.000
Ta 2.652 1.531 1.546
Cd 0.000 3.062 1.546
```

Results
Formation energy   860 meV per atom
Energy above the most stable polymorph in this dataset   245.8 meV/atom

no.,calculated density (g/cm³)
1,11.22
2,6.17
3,5.09
4,5.84
5,5.77
6,9.50